# 1
This record from Alexandria via LeMat-Bulk describes a relaxed structure of KRu2PtPb. The functional is PBE-GGA.

a b c (Å): 4.743 4.743 5.180
angles (deg): 90.00 90.00 90.00
Positions (direct):
K  0.000  0.000  0.000
Ru  0.000  0.500  0.000
Ru  0.500  0.000  0.000
Pt  0.000  0.000  0.500
Pb  0.500  0.500  0.500

spin magnetization = 3.31 μB/f.u.
DOS(E_F) = 6.18 states/eV/f.u.
energy of formation from the pure elements = 2.2818 eV/atom
space-group type = P4/mmm


# 2
This record from Alexandria via LeMat-Bulk describes a relaxed structure of Fe2RePb. The functional is PBE-GGA.

a b c (Å): 2.922 3.748 5.819
angles (deg): 90.00 90.00 90.00
Positions (direct):
Fe  0.000  0.000  0.195
Fe  0.000  0.000  0.805
Re  0.500  0.500  0.000
Pb  0.500  0.500  0.500

spin magnetization = 4.18 μB/f.u.
DOS(E_F) = 4.29 states/eV/f.u.
energy of formation from the pure elements = 0.5591 eV/atom
space-group type = Pmmm


# 3
This record from Alexandria via LeMat-Bulk describes a relaxed structure of YZn3O3. The functional is PBE-GGA.

a b c (Å): 5.895 5.895 5.895
angles (deg): 90.00 90.00 90.00
Positions (direct):
Y  0.000  0.000  0.000
Y  0.500  0.500  0.500
Zn  0.000  0.250  0.500
Zn  0.000  0.750  0.500
Zn  0.250  0.500  0.000
Zn  0.500  0.000  0.250
Zn  0.500  0.000  0.750
Zn  0.750  0.500  0.000
O  0.000  0.500  0.250
O  0.000  0.500  0.750
O  0.250  0.000  0.500
O  0.500  0.250  0.000
O  0.500  0.750  0.000
O  0.750  0.000  0.500

spin magnetization = 0.00 μB/f.u.
DOS(E_F) = 5.59 states/eV/f.u.
ΔE_f (raw) = -820 meV/atom
space-group type = Pm-3n


# 4
This record from Alexandria via LeMat-Bulk describes a relaxed structure of SrCoPt. The functional is PBE-GGA.

a b c (Å): 5.813 5.813 5.813
angles (deg): 145.11 145.11 50.17
Positions (direct):
Sr  0.000  0.000  0.000
Co  0.274  0.274  0.000
Pt  0.712  0.712  0.000

spin magnetization = 1.81 μB/f.u.
DOS(E_F) = 3.87 states/eV/f.u.
energy of formation from the pure elements = -0.0287 eV/atom
space-group type = I4mm


# 5
This record from Alexandria via LeMat-Bulk describes a relaxed structure of MgZrP3. The functional is PBE-GGA.

a b c (Å): 4.665 4.665 4.665
angles (deg): 90.00 90.00 90.00
Positions (direct):
Mg  0.000  0.000  0.000
Zr  0.500  0.500  0.500
P  0.000  0.000  0.500
P  0.000  0.500  0.000
P  0.500  0.000  0.000

spin magnetization = 0.00 μB/f.u.
DOS(E_F) = 4.76 states/eV/f.u.
energy above the lowest structure with this stoichiometry = 394.1 meV/atom
energy of formation from the pure elements = 0.6196 eV/atom
space-group type = Pm-3m


# 6
This record from Alexandria via LeMat-Bulk describes a relaxed structure of SrPd2N. The functional is PBE-GGA.

a b c (Å): 7.308 7.308 7.308
angles (deg): 138.48 138.48 60.17
Positions (direct):
Sr  0.375  0.625  0.750
Sr  0.625  0.375  0.250
Pd  0.000  0.000  0.000
Pd  0.000  0.000  0.500
Pd  0.000  0.500  0.000
Pd  0.500  0.000  0.500
N  0.125  0.875  0.250
N  0.875  0.125  0.750

spin magnetization = 0.00 μB/f.u.
DOS(E_F) = 1.09 states/eV/f.u.
ΔE_f (raw) = -142 meV/atom
space-group type = I4_1/amd


# 7
This record from Alexandria via LeMat-Bulk describes a relaxed structure of BeCu3Pd. The functional is PBE-GGA.

a b c (Å): 4.627 4.627 4.627
angles (deg): 90.00 90.00 90.00
Positions (direct):
Be  0.000  0.000  0.000
Cu  0.000  0.500  0.500
Cu  0.500  0.000  0.500
Cu  0.500  0.500  0.000
Pd  0.500  0.500  0.500

spin magnetization = 0.00 μB/f.u.
DOS(E_F) = 2.54 states/eV/f.u.
energy above the lowest structure with this stoichiometry = 914.0 meV/atom
energy of formation from the pure elements = 1.2429 eV/atom
space-group type = Pm-3m


# 8
This record from Alexandria via LeMat-Bulk describes a relaxed structure of LaNb2Tc2. The functional is PBE-GGA.

a b c (Å): 6.308 6.308 6.308
angles (deg): 139.01 139.01 59.35
Positions (direct):
La  0.000  0.000  0.000
Nb  0.250  0.750  0.500
Nb  0.750  0.250  0.500
Tc  0.381  0.381  0.000
Tc  0.619  0.619  0.000

spin magnetization = 0.00 μB/f.u.
DOS(E_F) = 7.56 states/eV/f.u.
energy above the lowest structure with this stoichiometry = 0.0 meV/atom
energy of formation from the pure elements = 0.0031 eV/atom
space-group type = I4/mmm